# 1
VASP calculation (SCAN) on a crystal of AlTlMo2 relaxed with PBEsol.

* ΔE to the lowest computed polymorph: 0.073 eV per atom
* SG: C2/m, No. 12

Lattice parameters (Å, degrees): 2.831 5.263 5.263 115.87 99.40 99.40
Sites, in units of the cell vectors:
Mo1 0.000 0.000 0.500
Tl1 0.500 0.500 0.500
Mo2 0.000 0.500 0.000
Al1 0.500 0.000 0.000

***

# 2
VASP calculation (SCAN) on a crystal of AlTlMo2 relaxed with PBEsol.

* ΔE to the lowest computed polymorph: 0.257 eV per atom
* SG: Fm-3m, No. 225

Lattice parameters (Å, degrees): 4.535 4.535 4.535 60.00 60.00 60.00
Sites, in units of the cell vectors:
Mo1 0.250 0.250 0.250
Mo2 0.750 0.750 0.750
Tl1 0.500 0.500 0.500
Al1 0.000 0.000 0.000

***

# 3
VASP calculation (SCAN) on a crystal of AlTlMo2 relaxed with PBEsol.

* ΔE to the lowest computed polymorph: 0.000 eV per atom
* SG: P2/m, No. 10

Lattice parameters (Å, degrees): 2.841 4.440 5.525 90.00 100.06 90.00
Sites, in units of the cell vectors:
Mo1 0.296 0.000 0.286
Al1 0.000 0.500 0.500
Mo2 0.704 0.000 0.714
Tl1 0.500 0.500 0.000

***

# 4
VASP calculation (SCAN) on a crystal of AlTlMo2 relaxed with PBEsol.

* ΔE to the lowest computed polymorph: 0.046 eV per atom
* SG: Cmmm, No. 65

Lattice parameters (Å, degrees): 2.817 2.817 8.835 90.00 90.00 106.87
Sites, in units of the cell vectors:
Mo1 0.000 0.000 0.232
Al1 0.500 0.500 0.000
Tl1 0.500 0.500 0.500
Mo2 0.000 0.000 0.768

***

# 5
VASP calculation (SCAN) on a crystal of Al2TlMo relaxed with PBEsol.

* ΔE to the lowest computed polymorph: 0.011 eV per atom
* SG: P4/mmm, No. 123

Lattice parameters (Å, degrees): 2.910 2.910 8.771 90.00 90.00 90.00
Sites, in units of the cell vectors:
Al1 0.000 0.000 0.797
Mo1 0.500 0.500 0.000
Tl1 0.500 0.500 0.500
Al2 0.000 0.000 0.203

***

# 6
VASP calculation (SCAN) on a crystal of Al2TlMo relaxed with PBEsol.

* ΔE to the lowest computed polymorph: 0.000 eV per atom
* SG: Pmm2, No. 25

Lattice parameters (Å, degrees): 2.904 4.759 4.949 90.00 90.00 90.00
Sites, in units of the cell vectors:
Al1 0.000 0.500 0.768
Tl1 0.500 0.500 0.274
Al2 0.500 0.000 0.961
Mo1 0.000 0.000 0.497

***

# 7
VASP calculation (SCAN) on a crystal of Al2TlMo relaxed with PBEsol.

* ΔE to the lowest computed polymorph: 0.064 eV per atom
* SG: C2/m, No. 12

Lattice parameters (Å, degrees): 2.883 5.061 5.027 96.36 90.00 106.55
Sites, in units of the cell vectors:
Mo1 0.000 0.000 0.500
Al1 0.265 0.529 0.280
Al2 0.735 0.471 0.720
Tl1 0.500 0.000 0.000

***

# 8
VASP calculation (SCAN) on a crystal of Tm6Al43Mo4 relaxed with PBEsol.

* SG: P6_3/mcm, No. 193

Lattice parameters (Å, degrees): 10.884 10.884 17.534 90.00 90.00 120.00
Sites, in units of the cell vectors:
Al1 0.255 0.255 0.530
Al2 0.596 0.148 0.250
Al3 0.506 0.753 0.000
Al4 0.333 0.667 0.625
Al5 0.763 0.606 0.163
Al6 0.147 0.147 0.750
Al7 0.494 0.247 0.000
Al8 0.753 0.506 0.000
Al9 0.247 0.753 0.500
Al10 0.157 0.763 0.663
Al11 0.394 0.237 0.663
Al12 0.448 0.852 0.250
Al13 0.333 0.667 0.875
Al14 0.606 0.763 0.337
Mo1 0.000 0.000 0.500
Mo2 0.000 0.272 0.750
Al15 0.596 0.448 0.750
Al16 0.394 0.237 0.837
Al17 0.853 0.000 0.750
Mo3 0.000 0.000 0.000
Al18 0.394 0.157 0.337
Al19 0.506 0.753 0.500
Al20 0.843 0.237 0.163
Al21 0.606 0.843 0.837
Al22 0.237 0.843 0.337
Al23 0.404 0.852 0.750
Al24 0.745 0.000 0.970
Al25 0.157 0.394 0.337
Al26 0.667 0.333 0.125
Al27 0.843 0.606 0.837
Al28 0.159 0.000 0.615
Al29 0.841 0.841 0.615
Al30 0.745 0.000 0.530
Al31 0.000 0.255 0.030
Al32 0.147 0.000 0.250
Al33 0.237 0.394 0.663
Al34 0.448 0.596 0.750
Al35 0.745 0.745 0.470
Al36 0.552 0.148 0.750
Al37 0.843 0.606 0.663
Al38 0.404 0.552 0.250
Al39 0.552 0.404 0.250
Al40 0.000 0.853 0.750
Al41 0.000 0.159 0.885
Tm1 0.468 0.000 0.595
Tm2 0.532 0.000 0.405
Al42 0.606 0.843 0.663
Al43 0.852 0.404 0.750
Al44 0.247 0.753 0.000
Al45 0.148 0.596 0.250
Al46 0.841 0.841 0.885
Al47 0.000 0.841 0.385
Al48 0.753 0.247 0.500
Al49 0.753 0.247 0.000
Tm3 0.000 0.532 0.095
Al50 0.394 0.157 0.163
Al51 0.852 0.448 0.250
Al52 0.000 0.255 0.470
Tm4 0.532 0.000 0.095
Al53 0.237 0.843 0.163
Al54 0.745 0.745 0.030
Mo4 0.272 0.000 0.750
Al55 0.159 0.000 0.885
Al56 0.247 0.494 0.000
Mo5 0.728 0.728 0.750
Al57 0.247 0.494 0.500
Tm5 0.468 0.468 0.095
Al58 0.000 0.159 0.615
Tm6 0.532 0.532 0.905
Tm7 0.532 0.532 0.595
Al59 0.667 0.333 0.375
Al60 0.000 0.745 0.970
Al61 0.000 0.841 0.115
Al62 0.763 0.606 0.337
Al63 0.841 0.000 0.115
Al64 0.667 0.333 0.875
Al65 0.159 0.159 0.385
Al66 0.000 0.147 0.250
Al67 0.157 0.763 0.837
Al68 0.494 0.247 0.500
Al69 0.753 0.506 0.500
Al70 0.843 0.237 0.337
Al71 0.667 0.333 0.625
Al72 0.237 0.394 0.837
Al73 0.255 0.255 0.970
Al74 0.841 0.000 0.385
Tm8 0.000 0.532 0.405
Al75 0.000 0.745 0.530
Tm9 0.468 0.000 0.905
Al76 0.148 0.552 0.750
Al77 0.853 0.853 0.250
Tm10 0.000 0.468 0.905
Mo6 0.272 0.272 0.250
Al78 0.333 0.667 0.375
Tm11 0.468 0.468 0.405
Mo7 0.000 0.728 0.250
Al79 0.333 0.667 0.125
Al80 0.255 0.000 0.470
Al81 0.606 0.763 0.163
Al82 0.159 0.159 0.115
Al83 0.157 0.394 0.163
Al84 0.255 0.000 0.030
Mo8 0.728 0.000 0.250
Tm12 0.000 0.468 0.595
Al85 0.763 0.157 0.663
Al86 0.763 0.157 0.837

***

# 9
VASP calculation (SCAN) on a crystal of AlMo3W relaxed with PBEsol.

* SG: Pm-3m, No. 221

Lattice parameters (Å, degrees): 4.417 4.417 4.417 90.00 90.00 90.00
Sites, in units of the cell vectors:
Mo1 0.000 0.000 0.500
Mo2 0.000 0.500 0.000
Mo3 0.500 0.000 0.000
W1 0.500 0.500 0.500
Al1 0.000 0.000 0.000

***

# 10
VASP calculation (SCAN) on a crystal of AlMoW relaxed with PBEsol.

* ΔE to the lowest computed polymorph: 0.267 eV per atom
* SG: P3m1, No. 156

Lattice parameters (Å, degrees): 2.785 2.785 6.896 90.00 90.00 120.00
Sites, in units of the cell vectors:
W1 0.667 0.333 0.330
Al1 0.000 0.000 0.999
Mo1 0.333 0.667 0.670

***

# 11
VASP calculation (SCAN) on a crystal of AlMoW relaxed with PBEsol.

* ΔE to the lowest computed polymorph: 0.000 eV per atom
* SG: Fmm2, No. 42

Lattice parameters (Å, degrees): 2.732 2.732 6.677 97.86 97.86 109.35
Sites, in units of the cell vectors:
Al1 0.999 0.999 0.999
W1 0.667 0.667 0.334
Mo1 0.334 0.334 0.668

***

# 12
VASP calculation (SCAN) on a crystal of AlMoW relaxed with PBEsol.

* ΔE to the lowest computed polymorph: 0.764 eV per atom
* SG: F-43m, No. 216

Lattice parameters (Å, degrees): 4.253 4.253 4.253 60.00 60.00 60.00
Sites, in units of the cell vectors:
Mo1 0.250 0.250 0.250
W1 0.000 0.000 0.000
Al1 0.500 0.500 0.500

***

# 13
VASP calculation (SCAN) on a crystal of Al2MoW relaxed with PBEsol.

* SG: P4mm, No. 99

Lattice parameters (Å, degrees): 3.218 3.218 5.835 90.00 90.00 90.00
Sites, in units of the cell vectors:
Al1 0.500 0.500 0.252
Mo1 0.000 0.000 0.507
Al2 0.000 0.000 0.000
W1 0.500 0.500 0.741

***

# 14
VASP calculation (SCAN) on a crystal of YAl2Mo relaxed with PBEsol.

* SG: Immm, No. 71

Lattice parameters (Å, degrees): 4.013 4.427 5.033 116.09 113.49 90.00
Sites, in units of the cell vectors:
Al1 0.757 0.757 0.515
Y1 0.000 0.500 0.000
Al2 0.243 0.243 0.485
Mo1 0.500 0.000 0.000

***

# 15
VASP calculation (SCAN) on a crystal of Y2AlMo relaxed with PBEsol.

* SG: R-3m, No. 166

Lattice parameters (Å, degrees): 3.314 3.314 9.671 80.13 80.13 60.00
Sites, in units of the cell vectors:
Y1 0.254 0.254 0.237
Mo1 0.000 0.000 0.000
Y2 0.746 0.746 0.763
Al1 0.500 0.500 0.500

***

# 16
VASP calculation (SCAN) on a crystal of Al2ZnMo relaxed with PBEsol.

* SG: P2/m, No. 10

Lattice parameters (Å, degrees): 2.687 4.348 5.106 90.00 95.43 90.00
Sites, in units of the cell vectors:
Mo1 0.500 0.500 0.000
Al1 0.875 0.000 0.753
Zn1 0.000 0.500 0.500
Al2 0.125 0.000 0.247

***

# 17
VASP calculation (SCAN) on a crystal of AlZn2Mo relaxed with PBEsol.

* SG: I4/mmm, No. 139

Lattice parameters (Å, degrees): 3.633 3.633 5.019 111.22 111.22 90.00
Sites, in units of the cell vectors:
Mo1 0.000 0.000 0.000
Al1 0.500 0.500 0.000
Zn1 0.250 0.750 0.500
Zn2 0.750 0.250 0.500

***

# 18
VASP calculation (SCAN) on a crystal of AlZn2Mo relaxed with PBEsol.

* SG: P4/mmm, No. 123

Lattice parameters (Å, degrees): 3.750 3.750 3.991 90.00 90.00 90.00
Sites, in units of the cell vectors:
Zn1 0.500 0.000 0.000
Al1 0.500 0.500 0.500
Mo1 0.000 0.000 0.500
Zn2 0.000 0.500 0.000

***

# 19
VASP calculation (SCAN) on a crystal of Al2ZnMo relaxed with PBEsol.

* SG: I-4m2, No. 119

Lattice parameters (Å, degrees): 3.677 3.677 4.980 111.66 111.66 90.00
Sites, in units of the cell vectors:
Al1 0.250 0.750 0.500
Al2 0.000 0.000 0.000
Mo1 0.500 0.500 0.000
Zn1 0.750 0.250 0.500

***

# 20
VASP calculation (SCAN) on a crystal of AlZn2Mo relaxed with PBEsol.

* SG: P2/m, No. 10

Lattice parameters (Å, degrees): 2.625 4.611 4.834 90.00 95.39 90.00
Sites, in units of the cell vectors:
Mo1 0.000 0.500 0.500
Al1 0.500 0.500 0.000
Zn1 0.670 0.000 0.744
Zn2 0.330 0.000 0.256

***

# 21
VASP calculation (SCAN) on a crystal of AlZn2Mo relaxed with PBEsol.

* SG: Pm, No. 6

Lattice parameters (Å, degrees): 2.723 4.219 5.109 90.00 90.07 90.00
Sites, in units of the cell vectors:
Mo1 0.250 0.500 0.742
Zn1 0.753 0.000 0.995
Al1 0.748 0.000 0.520
Zn2 0.749 0.500 0.243

***

# 22
VASP calculation (SCAN) on a crystal of Al2ZnMo relaxed with PBEsol.

* SG: I4/mmm, No. 139

Lattice parameters (Å, degrees): 3.749 3.749 4.906 112.46 112.46 90.00
Sites, in units of the cell vectors:
Zn1 0.500 0.500 0.000
Al1 0.250 0.750 0.500
Mo1 0.000 0.000 0.000
Al2 0.750 0.250 0.500

***

# 23
VASP calculation (SCAN) on a crystal of ZrAlMo2 relaxed with PBEsol.

* SG: Cmmm, No. 65

Lattice parameters (Å, degrees): 2.687 5.244 5.244 115.80 90.00 90.00
Sites, in units of the cell vectors:
Mo1 0.000 0.000 0.500
Mo2 0.000 0.500 0.000
Zr1 0.500 0.000 0.000
Al1 0.500 0.500 0.500

***

# 24
VASP calculation (SCAN) on a crystal of ZrAlMo2 relaxed with PBEsol.

* SG: Cmmm, No. 65

Lattice parameters (Å, degrees): 2.786 2.786 8.812 90.00 90.00 106.35
Sites, in units of the cell vectors:
Zr1 0.500 0.500 0.500
Mo1 0.000 0.000 0.767
Mo2 0.000 0.000 0.233
Al1 0.500 0.500 0.000

***

# 25
VASP calculation (SCAN) on a crystal of ZrAlMo2 relaxed with PBEsol.

* SG: P4/mmm, No. 123

Lattice parameters (Å, degrees): 3.894 3.894 4.375 90.00 90.00 90.00
Sites, in units of the cell vectors:
Mo1 0.000 0.500 0.000
Zr1 0.500 0.500 0.500
Mo2 0.500 0.000 0.000
Al1 0.000 0.000 0.500

***

no.,total magnetization (μB per formula unit),formation energy from the elements (eV/atom)
1,0.00,0.4307
2,0.00,0.6152
3,0.00,0.3579
4,0.00,0.4036
5,0.00,0.2054
6,0.00,0.1944
7,0.00,0.2580
8,0.00,-0.3318
9,0.00,1.7127
10,0.00,0.2082
11,0.00,-0.0591
12,0.00,0.7051
13,0.00,-0.2104
14,0.00,-0.1552
15,1.40,0.3136
16,0.00,-0.0990
17,0.00,-0.0983
18,0.22,-0.1517
19,0.00,-0.3394
20,0.00,0.0156
21,0.00,-0.0084
22,0.00,-0.3204
23,0.00,0.1039
24,0.00,-0.0117
25,0.00,-0.0942